Material: Th2TaN4
Method: DFT, PBE
State: relaxed

a = 6.113 Å, b = 6.126 Å, c = 6.795 Å
α = 90.00°, β = 108.40°, γ = 90.00°
Fractional coordinates of all 14 atoms:
Th: 0.170 0.250 0.032
Th: 0.249 0.250 0.558
Th: 0.751 0.750 0.442
Th: 0.830 0.750 0.968
Ta: 0.288 0.750 0.815
Ta: 0.712 0.250 0.185
N: 0.054 0.511 0.753
N: 0.054 0.989 0.753
N: 0.492 0.750 0.100
N: 0.495 0.750 0.648
N: 0.505 0.250 0.352
N: 0.508 0.250 0.900
N: 0.946 0.011 0.247
N: 0.946 0.489 0.247

Calculated values
- calculated volume (Å³/cell) = 241
- ΔE_f (raw) (eV per formula unit) = -8.4
- total magnetic moment (μB per cell) = 0.00



Material: ThTaN
Method: DFT, PBE
State: relaxed

a = 3.650 Å, b = 3.650 Å, c = 8.170 Å
α = 90.00°, β = 90.00°, γ = 90.00°
Fractional coordinates of all 6 atoms:
Th: 0.250 0.250 0.160
Th: 0.750 0.750 0.840
Ta: 0.250 0.250 0.572
Ta: 0.750 0.750 0.428
N: 0.250 0.250 0.838
N: 0.750 0.750 0.162

Calculated values
- calculated volume (Å³/cell) = 109
- ΔE_f (raw) (eV per formula unit) = -2.9
- total magnetic moment (μB per cell) = 0.00



Material: ThTaN2
Method: DFT, PBE
State: relaxed

a = 5.885 Å, b = 3.409 Å, c = 11.092 Å
α = 90.00°, β = 90.00°, γ = 90.00°
Fractional coordinates of all 16 atoms:
Th: 0.078 0.250 0.142
Th: 0.422 0.750 0.642
Th: 0.578 0.250 0.358
Th: 0.922 0.750 0.858
Ta: 0.072 0.750 0.403
Ta: 0.428 0.250 0.903
Ta: 0.572 0.750 0.097
Ta: 0.928 0.250 0.597
N: 0.164 0.250 0.751
N: 0.249 0.250 0.491
N: 0.251 0.750 0.991
N: 0.336 0.750 0.251
N: 0.664 0.250 0.749
N: 0.749 0.250 0.009
N: 0.751 0.750 0.509
N: 0.836 0.750 0.249

Calculated values
- distance to the lowest polymorph of the same formula (meV per atom) = 0
- calculated volume (Å³/cell) = 223
- ΔE_f (raw) (eV per formula unit) = -5.6
- total magnetic moment (μB per cell) = 0.00



Material: ThTaN2
Method: DFT, PBE
State: relaxed

a = 3.736 Å, b = 3.736 Å, c = 18.383 Å
α = 90.00°, β = 90.00°, γ = 120.00°
Fractional coordinates of all 12 atoms:
Th: 0.000 0.000 0.000
Th: 0.333 0.667 0.667
Th: 0.667 0.333 0.333
Ta: 0.000 0.000 0.500
Ta: 0.333 0.667 0.167
Ta: 0.667 0.333 0.833
N: 0.000 0.000 0.393
N: 0.000 0.000 0.607
N: 0.333 0.667 0.060
N: 0.333 0.667 0.274
N: 0.667 0.333 0.726
N: 0.667 0.333 0.940

Calculated values
- distance to the lowest polymorph of the same formula (meV per atom) = 444
- calculated volume (Å³/cell) = 222
- ΔE_f (raw) (eV per formula unit) = -3.8
- total magnetic moment (μB per cell) = 0.00



Material: Th5Ta2N12
Method: DFT, PBE
State: relaxed

a = 7.149 Å, b = 7.149 Å, c = 7.786 Å
α = 105.58°, β = 105.58°, γ = 51.58°
Fractional coordinates of all 19 atoms:
Th: 0.000 0.000 0.000
Th: 0.307 0.307 0.663
Th: 0.309 0.309 0.143
Th: 0.691 0.691 0.857
Th: 0.693 0.693 0.337
Ta: 0.242 0.758 0.500
Ta: 0.758 0.242 0.500
N: 0.002 0.002 0.684
N: 0.091 0.594 0.922
N: 0.104 0.564 0.416
N: 0.406 0.909 0.078
N: 0.436 0.896 0.584
N: 0.498 0.498 0.680
N: 0.502 0.502 0.320
N: 0.564 0.104 0.416
N: 0.594 0.091 0.922
N: 0.896 0.436 0.584
N: 0.909 0.406 0.078
N: 0.998 0.998 0.316

Calculated values
- calculated volume (Å³/cell) = 298
- ΔE_f (raw) (eV per formula unit) = -19.0
- total magnetic moment (μB per cell) = 4.08



Material: ThTaN4
Method: DFT, PBE
State: relaxed

a = 6.634 Å, b = 6.634 Å, c = 5.206 Å
α = 110.34°, β = 110.34°, γ = 115.46°
Fractional coordinates of all 12 atoms:
Th: 0.121 0.879 0.750
Th: 0.879 0.121 0.250
Ta: 0.415 0.585 0.250
Ta: 0.585 0.415 0.750
N: 0.012 0.537 0.899
N: 0.249 0.278 0.771
N: 0.278 0.249 0.271
N: 0.463 0.988 0.601
N: 0.537 0.012 0.399
N: 0.722 0.751 0.729
N: 0.751 0.722 0.229
N: 0.988 0.463 0.101

Calculated values
- calculated volume (Å³/cell) = 157
- ΔE_f (raw) (eV per formula unit) = -5.1
- total magnetic moment (μB per cell) = 0.00



Material: Th3Ta5N12
Method: DFT, PBE
State: relaxed

a = 11.371 Å, b = 11.371 Å, c = 11.371 Å
α = 109.47°, β = 109.47°, γ = 109.47°
Fractional coordinates of all 80 atoms:
Th: 0.125 0.250 0.375
Th: 0.125 0.375 0.750
Th: 0.250 0.375 0.125
Th: 0.250 0.875 0.625
Th: 0.375 0.125 0.250
Th: 0.375 0.750 0.125
Th: 0.625 0.250 0.875
Th: 0.625 0.875 0.750
Th: 0.750 0.125 0.375
Th: 0.750 0.625 0.875
Th: 0.875 0.625 0.250
Th: 0.875 0.750 0.625
Ta: 0.000 0.000 0.000
Ta: 0.000 0.000 0.500
Ta: 0.000 0.500 0.000
Ta: 0.000 0.500 0.500
Ta: 0.125 0.750 0.875
Ta: 0.125 0.875 0.250
Ta: 0.250 0.125 0.875
Ta: 0.250 0.625 0.375
Ta: 0.375 0.250 0.625
Ta: 0.375 0.625 0.750
Ta: 0.500 0.000 0.000
Ta: 0.500 0.000 0.500
Ta: 0.500 0.500 0.000
Ta: 0.500 0.500 0.500
Ta: 0.625 0.375 0.250
Ta: 0.625 0.750 0.375
Ta: 0.750 0.375 0.625
Ta: 0.750 0.875 0.125
Ta: 0.875 0.125 0.750
Ta: 0.875 0.250 0.125
N: 0.024 0.202 0.121
N: 0.024 0.322 0.903
N: 0.082 0.702 0.678
N: 0.082 0.879 0.403
N: 0.097 0.621 0.418
N: 0.097 0.976 0.678
N: 0.121 0.024 0.202
N: 0.121 0.597 0.918
N: 0.178 0.202 0.582
N: 0.178 0.476 0.597
N: 0.202 0.121 0.024
N: 0.202 0.582 0.178
N: 0.298 0.322 0.918
N: 0.298 0.476 0.379
N: 0.322 0.903 0.024
N: 0.322 0.918 0.298
N: 0.379 0.298 0.476
N: 0.379 0.582 0.903
N: 0.403 0.082 0.879
N: 0.403 0.822 0.524
N: 0.418 0.097 0.621
N: 0.418 0.822 0.798
N: 0.476 0.379 0.298
N: 0.476 0.597 0.178
N: 0.524 0.403 0.822
N: 0.524 0.621 0.702
N: 0.582 0.178 0.202
N: 0.582 0.903 0.379
N: 0.597 0.178 0.476
N: 0.597 0.918 0.121
N: 0.621 0.418 0.097
N: 0.621 0.702 0.524
N: 0.678 0.082 0.702
N: 0.678 0.097 0.976
N: 0.702 0.524 0.621
N: 0.702 0.678 0.082
N: 0.798 0.418 0.822
N: 0.798 0.879 0.976
N: 0.822 0.524 0.403
N: 0.822 0.798 0.418
N: 0.879 0.403 0.082
N: 0.879 0.976 0.798
N: 0.903 0.024 0.322
N: 0.903 0.379 0.582
N: 0.918 0.121 0.597
N: 0.918 0.298 0.322
N: 0.976 0.678 0.097
N: 0.976 0.798 0.879

Calculated values
- calculated volume (Å³/cell) = 1132
- ΔE_f (raw) (eV per formula unit) = -26.7
- total magnetic moment (μB per cell) = 0.00



Material: ThTa2N4
Method: DFT, PBE
State: relaxed

a = 5.386 Å, b = 5.386 Å, c = 10.503 Å
α = 90.00°, β = 90.00°, γ = 145.06°
Fractional coordinates of all 14 atoms:
Th: 0.118 0.882 0.750
Th: 0.882 0.118 0.250
Ta: 0.376 0.624 0.562
Ta: 0.376 0.624 0.938
Ta: 0.624 0.376 0.062
Ta: 0.624 0.376 0.438
N: 0.000 0.000 0.000
N: 0.000 0.000 0.500
N: 0.265 0.735 0.110
N: 0.265 0.735 0.390
N: 0.433 0.567 0.750
N: 0.567 0.433 0.250
N: 0.735 0.265 0.610
N: 0.735 0.265 0.890

Calculated values
- calculated volume (Å³/cell) = 175
- ΔE_f (raw) (eV per formula unit) = -9.1
- total magnetic moment (μB per cell) = 0.00



Material: ThTa4N6
Method: DFT, PBE
State: relaxed

a = 5.406 Å, b = 5.406 Å, c = 15.672 Å
α = 90.00°, β = 90.00°, γ = 145.58°
Fractional coordinates of all 22 atoms:
Th: 0.157 0.843 0.750
Th: 0.843 0.157 0.250
Ta: 0.101 0.899 0.125
Ta: 0.101 0.899 0.375
Ta: 0.352 0.648 0.041
Ta: 0.352 0.648 0.459
Ta: 0.648 0.352 0.541
Ta: 0.648 0.352 0.959
Ta: 0.899 0.101 0.625
Ta: 0.899 0.101 0.875
N: 0.000 0.000 0.000
N: 0.000 0.000 0.500
N: 0.163 0.837 0.250
N: 0.261 0.739 0.596
N: 0.261 0.739 0.904
N: 0.466 0.534 0.156
N: 0.466 0.534 0.344
N: 0.534 0.466 0.656
N: 0.534 0.466 0.844
N: 0.739 0.261 0.096
N: 0.739 0.261 0.404
N: 0.837 0.163 0.750

Calculated values
- calculated volume (Å³/cell) = 259
- ΔE_f (raw) (eV per formula unit) = -13.2
- total magnetic moment (μB per cell) = 0.00



Material: Th2Ta2N7
Method: DFT, PBE
State: relaxed

a = 5.339 Å, b = 5.339 Å, c = 5.217 Å
α = 90.00°, β = 90.00°, γ = 95.70°
Fractional coordinates of all 11 atoms:
Th: 0.245 0.245 0.000
Th: 0.755 0.755 0.000
Ta: 0.290 0.710 0.500
Ta: 0.710 0.290 0.500
N: 0.000 0.000 0.500
N: 0.000 0.500 0.266
N: 0.000 0.500 0.734
N: 0.500 0.000 0.266
N: 0.500 0.000 0.734
N: 0.500 0.500 0.264
N: 0.500 0.500 0.736

Calculated values
- calculated volume (Å³/cell) = 148
- ΔE_f (raw) (eV per formula unit) = -8.4
- total magnetic moment (μB per cell) = 2.06



Material: Th2TaTiN5
Method: DFT, PBE
State: relaxed

a = 6.955 Å, b = 6.955 Å, c = 10.384 Å
α = 90.00°, β = 90.00°, γ = 151.71°
Fractional coordinates of all 18 atoms:
Th: 0.110 0.890 0.500
Th: 0.142 0.858 0.107
Th: 0.858 0.142 0.607
Th: 0.890 0.110 0.000
Ta: 0.212 0.788 0.820
Ta: 0.788 0.212 0.320
Ti: 0.471 0.529 0.279
Ti: 0.529 0.471 0.779
N: 0.054 0.946 0.870
N: 0.282 0.718 0.461
N: 0.316 0.684 0.193
N: 0.369 0.631 0.814
N: 0.495 0.505 0.597
N: 0.505 0.495 0.097
N: 0.631 0.369 0.314
N: 0.684 0.316 0.693
N: 0.718 0.282 0.961
N: 0.946 0.054 0.370

Calculated values
- calculated volume (Å³/cell) = 238
- ΔE_f (raw) (eV per formula unit) = -13.1
- total magnetic moment (μB per cell) = 0.00



Material: Th2TaTiN6
Method: DFT, PBE
State: relaxed

a = 5.660 Å, b = 5.716 Å, c = 9.792 Å
α = 90.00°, β = 125.28°, γ = 90.00°
Fractional coordinates of all 20 atoms:
Th: 0.243 0.044 0.250
Th: 0.243 0.456 0.750
Th: 0.757 0.544 0.250
Th: 0.757 0.956 0.750
Ta: 0.500 0.000 0.000
Ta: 0.500 0.500 0.500
Ti: 0.000 0.000 0.500
Ti: 0.000 0.500 0.000
N: 0.157 0.204 0.953
N: 0.157 0.296 0.453
N: 0.245 0.702 0.952
N: 0.245 0.798 0.452
N: 0.339 0.025 0.749
N: 0.339 0.475 0.249
N: 0.661 0.525 0.751
N: 0.661 0.975 0.251
N: 0.755 0.202 0.548
N: 0.755 0.298 0.048
N: 0.843 0.704 0.547
N: 0.843 0.796 0.047

Calculated values
- calculated volume (Å³/cell) = 259
- ΔE_f (raw) (eV per formula unit) = -13.8
- total magnetic moment (μB per cell) = 0.00



Material: Th2TaVN6
Method: DFT, PBE
State: relaxed

a = 5.603 Å, b = 5.651 Å, c = 9.682 Å
α = 90.00°, β = 125.24°, γ = 90.00°
Fractional coordinates of all 20 atoms:
Th: 0.245 0.042 0.249
Th: 0.245 0.458 0.749
Th: 0.755 0.542 0.251
Th: 0.755 0.958 0.751
Ta: 0.500 0.000 0.000
Ta: 0.500 0.500 0.500
V: 0.000 0.000 0.500
V: 0.000 0.500 0.000
N: 0.159 0.208 0.959
N: 0.159 0.292 0.459
N: 0.247 0.699 0.959
N: 0.247 0.801 0.459
N: 0.323 0.018 0.744
N: 0.323 0.482 0.244
N: 0.677 0.518 0.756
N: 0.677 0.982 0.256
N: 0.753 0.199 0.541
N: 0.753 0.301 0.041
N: 0.841 0.708 0.541
N: 0.841 0.792 0.041

Calculated values
- calculated volume (Å³/cell) = 250
- ΔE_f (raw) (eV per formula unit) = -13.2
- total magnetic moment (μB per cell) = 0.00



Material: Th2TaVN5
Method: DFT, PBE
State: relaxed

a = 6.985 Å, b = 6.985 Å, c = 10.204 Å
α = 90.00°, β = 90.00°, γ = 151.99°
Fractional coordinates of all 18 atoms:
Th: 0.115 0.885 0.500
Th: 0.140 0.860 0.121
Th: 0.860 0.140 0.621
Th: 0.885 0.115 0.000
Ta: 0.202 0.798 0.822
Ta: 0.798 0.202 0.322
V: 0.463 0.537 0.279
V: 0.537 0.463 0.779
N: 0.047 0.953 0.869
N: 0.289 0.711 0.469
N: 0.317 0.683 0.191
N: 0.361 0.639 0.818
N: 0.497 0.503 0.607
N: 0.503 0.497 0.107
N: 0.639 0.361 0.318
N: 0.683 0.317 0.691
N: 0.711 0.289 0.969
N: 0.953 0.047 0.369

Calculated values
- calculated volume (Å³/cell) = 234
- ΔE_f (raw) (eV per formula unit) = -12.1
- total magnetic moment (μB per cell) = 0.00



Material: Th2TaWN6
Method: DFT, PBE
State: relaxed

a = 5.615 Å, b = 5.615 Å, c = 4.453 Å
α = 90.00°, β = 90.00°, γ = 90.00°
Fractional coordinates of all 10 atoms:
Th: 0.000 0.500 0.000
Th: 0.500 0.000 0.000
Ta: 0.000 0.000 0.584
W: 0.500 0.500 0.578
N: 0.000 0.000 0.154
N: 0.253 0.253 0.695
N: 0.253 0.747 0.695
N: 0.500 0.500 0.168
N: 0.747 0.253 0.695
N: 0.747 0.747 0.695

Calculated values
- calculated volume (Å³/cell) = 140
- ΔE_f (raw) (eV per formula unit) = -11.8
- total magnetic moment (μB per cell) = 0.00



Material: Y2ThTaN4
Method: DFT, PBE
State: relaxed

a = 5.900 Å, b = 3.401 Å, c = 5.983 Å
α = 90.00°, β = 108.76°, γ = 90.00°
Fractional coordinates of all 8 atoms:
Y: 0.000 0.000 0.000
Y: 0.000 0.500 0.500
Th: 0.500 0.000 0.500
Ta: 0.500 0.500 0.000
N: 0.262 0.500 0.225
N: 0.277 0.000 0.781
N: 0.723 0.000 0.219
N: 0.738 0.500 0.775

Calculated values
- calculated volume (Å³/cell) = 114
- ΔE_f (raw) (eV per formula unit) = -11.2
- total magnetic moment (μB per cell) = 0.00



no.,energy (eV/atom)
1,-9.7702
2,-10.1659
3,-10.3751
4,-9.9310
5,-9.4564
6,-9.6113
7,-10.4066
8,-10.5108
9,-10.7219
10,-9.5624
11,-9.9263
12,-9.8305
13,-9.8997
14,-9.9474
15,-10.1415
16,-9.5937